#one
VASP calculation (PBEsol) on a relaxed structure of SrZn2Re.

a = 4.7222 Å, b = 4.7222 Å, c = 4.7222 Å
α = 60.00°, β = 60.00°, γ = 60.00°
Last column: nearest neighbours and their distance in Å.
Element x y z (fractional)
Re (0.5000, 0.5000, 0.5000)  4 Sr 2.89, 4 Zn 2.89
Zn (0.0000, 0.0000, 0.0000)  4 Zn 2.89, 4 Sr 2.89
Zn (0.7500, 0.7500, 0.7500)  4 Zn 2.89, 4 Re 2.89
Sr (0.2500, 0.2500, 0.2500)  4 Zn 2.89, 4 Re 2.89

## Properties
For the size of the total moment, the calculation gives 0.9 μB/f.u. The calculated volume is 74.46 Å³ per cell. As for the symmetry: F-43m (216).

---

#two
VASP calculation (PBEsol) on a relaxed structure of SrZn2Re.

a = 2.8449 Å, b = 3.8604 Å, c = 6.6109 Å
α = 90.00°, β = 90.00°, γ = 90.00°
Last column: nearest neighbours and their distance in Å.
Element x y z (fractional)
Zn (0.0000, 0.0000, 0.8135)  1 Zn 2.47, 4 Re 2.70
Zn (0.0000, 0.0000, 0.1865)  1 Zn 2.47, 4 Re 2.70
Re (0.5000, 0.5000, 0.0000)  8 Zn 2.70, 2 Re 2.84
Sr (0.5000, 0.5000, 0.5000)  2 Sr 2.84, 8 Zn 3.17

## Properties
For the size of the total moment, the calculation gives 0.0 μB/f.u. The calculated volume is 72.60 Å³ per cell. As for the symmetry: Pmmm (47).

---

The least stable of them is #one.